(1)
A relaxed AcTbMgPt crystal, computed with GGA-PBE.

```
16
Lattice="7.5531 0.0000 0.0000 0.0000 7.5531 0.0000 0.0000 0.0000 7.5531" Properties=species:S:1:pos:R:3 pbc="T T T"
Ac 0.0000 0.0000 0.0000
Ac 0.0000 3.7765 3.7765
Ac 3.7765 0.0000 3.7765
Ac 3.7765 3.7765 0.0000
Tb 0.0000 0.0000 3.7765
Tb 0.0000 3.7765 0.0000
Tb 3.7765 0.0000 0.0000
Tb 3.7765 3.7765 3.7765
Mg 1.8883 1.8883 5.6648
Mg 1.8883 5.6648 1.8883
Mg 5.6648 1.8883 1.8883
Mg 5.6648 5.6648 5.6648
Pt 1.8883 1.8883 1.8883
Pt 1.8883 5.6648 5.6648
Pt 5.6648 1.8883 5.6648
Pt 5.6648 5.6648 1.8883
```

Calculated values
The raw total energy is -4.548 eV per atom.

(2)
A relaxed LaAgBi2Ru crystal, computed with GGA-PBE.

```
5
Lattice="5.3821 0.0000 0.0000 0.0000 5.3821 0.0000 0.0000 0.0000 5.6246" Properties=species:S:1:pos:R:3 pbc="T T T"
La 0.0000 0.0000 0.0000
Ag 0.0000 0.0000 2.8123
Bi 0.0000 2.6911 2.8123
Bi 2.6911 0.0000 2.8123
Ru 2.6911 2.6911 0.0000
```

Calculated values
The raw total energy is -4.038 eV per atom.